# BaNbP2Cl

An optimized crystal structure of BaNbP2Cl (GGA-PBEsol, the Alexandria database).

The structure in CIF format:
```
data_BaNbP2Cl
_symmetry_space_group_name_H-M 'P 4/m m m'
_symmetry_Int_Tables_number 123
_symmetry_space_group_name_Hall '-P 4 2'
_cell_length_a 4.8383
_cell_length_b 4.8383
_cell_length_c 5.0433
_cell_angle_alpha 90.00
_cell_angle_beta 90.00
_cell_angle_gamma 90.00
loop_
_atom_site_label
_atom_site_fract_x
_atom_site_fract_y
_atom_site_fract_z
Ba1 0.0000 0.0000 0.0000
Nb1 0.5000 0.5000 0.5000
P1 0.0000 0.5000 0.5000
Cl1 0.5000 0.5000 0.0000
```

V = 23.6 Å³ per atom
Final energy = -0.228 Ha/atom
Uncorrected formation energy = -4.435 eV per formula unit

# BaNiWSe2

An optimized crystal structure of BaNiWSe2 (GGA-PBEsol, the Alexandria database).

The structure in CIF format:
```
data_BaNiWSe2
_symmetry_space_group_name_H-M 'P 4/m m m'
_symmetry_Int_Tables_number 123
_symmetry_space_group_name_Hall '-P 4 2'
_cell_length_a 4.7963
_cell_length_b 4.7963
_cell_length_c 4.9767
_cell_angle_alpha 90.00
_cell_angle_beta 90.00
_cell_angle_gamma 90.00
loop_
_atom_site_label
_atom_site_fract_x
_atom_site_fract_y
_atom_site_fract_z
Ba1 0.0000 0.0000 0.0000
Ni1 0.0000 0.0000 0.5000
W1 0.5000 0.5000 0.0000
Se1 0.0000 0.5000 0.5000
```

V = 22.9 Å³ per atom
Final energy = -0.187 Ha/atom
Uncorrected formation energy = 4.401 eV per formula unit

# Sc5C

An optimized crystal structure of Sc5C (GGA-PBEsol, the Alexandria database).

The structure in CIF format:
```
data_Sc5C
_symmetry_space_group_name_H-M 'C 1 m 1'
_symmetry_Int_Tables_number 8
_symmetry_space_group_name_Hall 'C -2y'
_cell_length_a 10.9707
_cell_length_b 3.1628
_cell_length_c 7.1038
_cell_angle_alpha 90.00
_cell_angle_beta 100.31
_cell_angle_gamma 90.00
loop_
_atom_site_label
_atom_site_fract_x
_atom_site_fract_y
_atom_site_fract_z
Sc1 0.0000 0.0000 0.0000
Sc2 0.0903 0.0000 0.4016
Sc3 0.1885 0.5000 0.8124
Sc4 0.2844 0.0000 0.1821
Sc5 0.3928 0.0000 0.6137
C1 0.1362 0.5000 0.1217
```

Offset from the most stable computed form = 0.00 eV/f.u.
V = 20.2 Å³ per atom
DFT formation energy = -34 kJ/mol of formula units
Final energy = -0.263 Ha/atom

# CaScFe2

An optimized crystal structure of CaScFe2 (GGA-PBEsol, the Alexandria database).

The structure in CIF format:
```
data_CaScFe2
_symmetry_space_group_name_H-M 'A m m 2'
_symmetry_Int_Tables_number 38
_symmetry_space_group_name_Hall 'A 2 -2'
_cell_length_a 3.5374
_cell_length_b 4.0776
_cell_length_c 10.6371
_cell_angle_alpha 90.00
_cell_angle_beta 90.00
_cell_angle_gamma 90.00
loop_
_atom_site_label
_atom_site_fract_x
_atom_site_fract_y
_atom_site_fract_z
Ca1 0.0000 0.0000 0.0000
Sc1 0.5000 0.0000 0.2773
Fe1 0.0000 0.0000 0.7262
Fe2 0.5000 0.0000 0.6040
```

V = 19.2 Å³ per atom
DFT formation energy = 94 kJ/mol of formula units
Final energy = -0.236 Ha/atom

# TlOsRu2

An optimized crystal structure of TlOsRu2 (GGA-PBEsol, the Alexandria database).

The structure in CIF format:
```
data_TlOsRu2
_symmetry_space_group_name_H-M 'C m m 2'
_symmetry_Int_Tables_number 35
_symmetry_space_group_name_Hall 'C 2 -2'
_cell_length_a 2.8093
_cell_length_b 4.8482
_cell_length_c 9.3295
_cell_angle_alpha 90.00
_cell_angle_beta 90.00
_cell_angle_gamma 90.00
loop_
_atom_site_label
_atom_site_fract_x
_atom_site_fract_y
_atom_site_fract_z
Tl1 0.0000 0.0000 0.0000
Os1 0.0000 0.5000 0.7249
Ru1 0.0000 0.0000 0.4943
Ru2 0.0000 0.5000 0.2643
```

Offset from the most stable computed form = 0.44 eV/f.u.
V = 15.9 Å³ per atom
DFT formation energy = 352 kJ/mol of formula units
Final energy = -0.290 Ha/atom

# BaAs

An optimized crystal structure of BaAs (GGA-PBEsol, the Alexandria database).

The structure in CIF format:
```
data_BaAs
_symmetry_space_group_name_H-M 'I m m m'
_symmetry_Int_Tables_number 71
_symmetry_space_group_name_Hall '-I 2 2'
_cell_length_a 4.8344
_cell_length_b 7.2278
_cell_length_c 8.5069
_cell_angle_alpha 90.00
_cell_angle_beta 90.00
_cell_angle_gamma 90.00
loop_
_atom_site_label
_atom_site_fract_x
_atom_site_fract_y
_atom_site_fract_z
Ba1 0.0000 0.0000 0.2292
As1 0.0000 0.3286 0.5000
```

V = 37.2 Å³ per atom
DFT formation energy = -192 kJ/mol of formula units
Final energy = -0.170 Ha/atom

# Rb2CdHg2

An optimized crystal structure of Rb2CdHg2 (GGA-PBEsol, the Alexandria database).

The structure in CIF format:
```
data_Rb2CdHg2
_symmetry_space_group_name_H-M 'I 4/m m m'
_symmetry_Int_Tables_number 139
_symmetry_space_group_name_Hall '-I 4 2'
_cell_length_a 6.9009
_cell_length_b 6.9009
_cell_length_c 8.4096
_cell_angle_alpha 90.00
_cell_angle_beta 90.00
_cell_angle_gamma 90.00
loop_
_atom_site_label
_atom_site_fract_x
_atom_site_fract_y
_atom_site_fract_z
Rb1 0.0000 0.5000 0.2500
Cd1 0.0000 0.0000 0.0000
Hg1 0.0000 0.0000 0.3347
```

Offset from the most stable computed form = 0.40 eV/f.u.
V = 40.0 Å³ per atom
DFT formation energy = -21 kJ/mol of formula units
Final energy = -0.034 Ha/atom

# InGaMoAu2

An optimized crystal structure of InGaMoAu2 (GGA-PBEsol, the Alexandria database).

The structure in CIF format:
```
data_InGaMoAu2
_symmetry_space_group_name_H-M 'P 4/m m m'
_symmetry_Int_Tables_number 123
_symmetry_space_group_name_Hall '-P 4 2'
_cell_length_a 4.7145
_cell_length_b 4.7145
_cell_length_c 4.9853
_cell_angle_alpha 90.00
_cell_angle_beta 90.00
_cell_angle_gamma 90.00
loop_
_atom_site_label
_atom_site_fract_x
_atom_site_fract_y
_atom_site_fract_z
In1 0.0000 0.0000 0.0000
Ga1 0.0000 0.0000 0.5000
Mo1 0.5000 0.5000 0.0000
Au1 0.0000 0.5000 0.5000
```

V = 22.2 Å³ per atom
DFT formation energy = 520 kJ/mol of formula units
Final energy = -0.151 Ha/atom

# BaP2Cl

An optimized crystal structure of BaP2Cl (GGA-PBEsol, the Alexandria database).

The structure in CIF format:
```
data_BaP2Cl
_symmetry_space_group_name_H-M 'P 1 2/m 1'
_symmetry_Int_Tables_number 10
_symmetry_space_group_name_Hall '-P 2y'
_cell_length_a 3.5317
_cell_length_b 6.2595
_cell_length_c 4.9539
_cell_angle_alpha 90.00
_cell_angle_beta 91.15
_cell_angle_gamma 90.00
loop_
_atom_site_label
_atom_site_fract_x
_atom_site_fract_y
_atom_site_fract_z
Ba1 0.0000 0.0000 0.0000
P1 0.2440 0.5000 0.8606
Cl1 0.5000 0.0000 0.5000
```

Offset from the most stable computed form = 0.00 eV/f.u.
V = 27.4 Å³ per atom
Final energy = -0.178 Ha/atom
Uncorrected formation energy = -3.625 eV per formula unit

# CaAl2Zn

An optimized crystal structure of CaAl2Zn (GGA-PBEsol, the Alexandria database).

The structure in CIF format:
```
data_CaAl2Zn
_symmetry_space_group_name_H-M 'R -3 m'
_symmetry_Int_Tables_number 166
_symmetry_space_group_name_Hall '-R 3 2"'
_cell_length_a 3.2356
_cell_length_b 3.2356
_cell_length_c 27.3141
_cell_angle_alpha 90.00
_cell_angle_beta 90.00
_cell_angle_gamma 120.00
loop_
_atom_site_label
_atom_site_fract_x
_atom_site_fract_y
_atom_site_fract_z
Ca1 0.0000 0.0000 0.0000
Al1 0.0000 0.0000 0.2384
Zn1 0.0000 0.0000 0.5000
```

V = 20.6 Å³ per atom
DFT formation energy = 62 kJ/mol of formula units
Final energy = -0.103 Ha/atom

# LaNi

An optimized crystal structure of LaNi (GGA-PBEsol, the Alexandria database).

The structure in CIF format:
```
data_LaNi
_symmetry_space_group_name_H-M 'P 1 21/m 1'
_symmetry_Int_Tables_number 11
_symmetry_space_group_name_Hall '-P 2yb'
_cell_length_a 3.7841
_cell_length_b 4.2889
_cell_length_c 5.6463
_cell_angle_alpha 90.00
_cell_angle_beta 109.73
_cell_angle_gamma 90.00
loop_
_atom_site_label
_atom_site_fract_x
_atom_site_fract_y
_atom_site_fract_z
La1 0.1348 0.2500 0.2698
Ni1 0.4261 0.2500 0.8513
```

V = 21.6 Å³ per atom
DFT formation energy = -57 kJ/mol of formula units
Final energy = -0.222 Ha/atom

# Sn2N2O

An optimized crystal structure of Sn2N2O (GGA-PBEsol, the Alexandria database).

The structure in CIF format:
```
data_Sn2N2O
_symmetry_space_group_name_H-M 'I 41/a m d'
_symmetry_Int_Tables_number 141
_cell_length_a 6.3850
_cell_length_b 6.3850
_cell_length_c 27.1615
_cell_angle_alpha 90.00
_cell_angle_beta 90.00
_cell_angle_gamma 90.00
loop_
_symmetry_equiv_pos_as_xyz
'x,y,z'
'-x,-y,-z'
'-y+1/4,x+3/4,z+1/4'
'y+1/4,-x+3/4,-z+1/4'
'-x+1/2,-y,z+1/2'
'x+1/2,y,-z+1/2'
'y+1/4,-x+1/4,z+3/4'
'-y+1/4,x+1/4,-z+3/4'
'x,-y,-z'
'-x,y,z'
'-y+1/4,-x+1/4,-z+3/4'
'y+1/4,x+1/4,z+3/4'
'-x+1/2,y,-z+1/2'
'x+1/2,-y,z+1/2'
'y+1/4,x+3/4,-z+1/4'
'-y+1/4,-x+3/4,z+1/4'
'x+1/2,y+1/2,z+1/2'
'-x+1/2,-y+1/2,-z+1/2'
'-y+3/4,x+1/4,z+3/4'
'y+3/4,-x+1/4,-z+3/4'
'-x,-y+1/2,z'
'x,y+1/2,-z'
'y+3/4,-x+3/4,z+1/4'
'-y+3/4,x+3/4,-z+1/4'
'x+1/2,-y+1/2,-z+1/2'
'-x+1/2,y+1/2,z+1/2'
'-y+3/4,-x+3/4,-z+1/4'
'y+3/4,x+3/4,z+1/4'
'-x,y+1/2,-z'
'x,-y+1/2,z'
'y+3/4,x+1/4,-z+3/4'
'-y+3/4,-x+1/4,z+3/4'
loop_
_atom_site_label
_atom_site_fract_x
_atom_site_fract_y
_atom_site_fract_z
Sn1 0.0000 0.0000 0.0000
Sn2 0.0000 0.0012 0.3322
Sn3 0.0000 0.2500 0.2063
N1 0.0000 0.0159 0.7485
N2 0.0000 0.0167 0.4123
O1 0.0000 0.0370 0.0767
```

V = 13.8 Å³ per atom
Final energy = -0.243 Ha/atom
Uncorrected formation energy = -2.263 eV per formula unit